This record from the Alexandria database describes crystalline ZnTcSe2N at its relaxed geometry. The functional is PBE.

Geometry as CIF:
```
data_ZnTcSe2N
_cell_length_a 5.076
_cell_length_b 5.076
_cell_length_c 3.696
_cell_angle_alpha 90.00
_cell_angle_beta 90.00
_cell_angle_gamma 90.00
_symmetry_space_group_name_H-M 'P 4/m m m'
_symmetry_Int_Tables_number 123
_symmetry_space_group_name_Hall '-P 4 2'
loop_
_atom_site_label
_atom_site_fract_x
_atom_site_fract_y
_atom_site_fract_z
Zn1 0.000 0.000 0.000
Tc1 0.500 0.500 0.500
Se1 0.000 0.500 0.500
N1 0.500 0.500 0.000
```

- Formation energy (no corrections): 0.28 eV/atom
- Distance to the lowest polymorph of the same formula: 0 meV/atom



This record from the Alexandria database describes crystalline Ga2Ni7Sb2Pt at its relaxed geometry. The functional is PBE.

Geometry as CIF:
```
data_Ga2Ni7Sb2Pt
_cell_length_a 5.027
_cell_length_b 5.044
_cell_length_c 14.701
_cell_angle_alpha 90.00
_cell_angle_beta 95.26
_cell_angle_gamma 90.00
_symmetry_space_group_name_H-M 'C 1 2/m 1'
_symmetry_Int_Tables_number 12
loop_
_symmetry_equiv_pos_as_xyz
'x,y,z'
'-x,-y,-z'
'-x,y,-z'
'x,-y,z'
'x+1/2,y+1/2,z'
'-x+1/2,-y+1/2,-z'
'-x+1/2,y+1/2,-z'
'x+1/2,-y+1/2,z'
loop_
_atom_site_label
_atom_site_fract_x
_atom_site_fract_y
_atom_site_fract_z
Ga1 0.125 0.000 0.421
Ni1 0.000 0.500 0.000
Ni2 0.117 0.500 0.423
Ni3 0.216 0.249 0.870
Sb1 0.065 0.500 0.252
Pt1 0.000 0.000 0.000
```

- Formation energy (no corrections): -0.08 eV/atom